This record from the Alexandria database describes a relaxed LiIn crystal. The functional is PBE-GGA.

Summary:
Magnetization ... 0.0 μB per cell
Uncorrected energy ... -9.7 eV for the cell shown
SG ... R-3m (166)
Formation energy ... -0.09 eV/atom

The structure in POSCAR format:
```
LiIn
1.0
-0.6883 9.5898 1.4532
-1.3201 9.4572 -1.8359
-3.7934 8.9457 0.3677
Li In
2 2
direct
0.4977 0.4977 0.4977
0.2523 0.2523 0.2523
0.7522 0.7522 0.7522
0.9978 0.9978 0.9978
```